Entry 1
# NaBeTeI2 PBE optimized geometry
data_NaBeTeI2
_cell_length_a 5.667
_cell_length_b 5.667
_cell_length_c 4.905
_cell_angle_alpha 90.00
_cell_angle_beta 90.00
_cell_angle_gamma 90.00
_space_group_name_H-M_alt 'P 4/m m m'
_space_group_IT_number 123
_space_group_name_Hall '-P 4 2'
loop_
_atom_site_label
_atom_site_fract_x
_atom_site_fract_y
_atom_site_fract_z
_atom_site_occupancy
Na1 0.000 0.000 0.000 1
Be1 0.500 0.500 0.500 1
Te1 0.500 0.500 0.000 1
I1 0.000 0.500 0.500 1
# N(E_F), states/eV/f.u.: 2.990
# Crystal system: tetragonal



Entry 2
# NaBeTeI2 PBE optimized geometry
data_NaBeTeI2
_cell_length_a 5.952
_cell_length_b 5.952
_cell_length_c 5.880
_cell_angle_alpha 90.00
_cell_angle_beta 90.00
_cell_angle_gamma 90.00
_space_group_name_H-M_alt 'P 4/m m m'
_space_group_IT_number 123
_space_group_name_Hall '-P 4 2'
loop_
_atom_site_label
_atom_site_fract_x
_atom_site_fract_y
_atom_site_fract_z
_atom_site_occupancy
Na1 0.000 0.000 0.000 1
Be1 0.500 0.500 0.500 1
Te1 0.000 0.000 0.500 1
I1 0.000 0.500 0.000 1
# N(E_F), states/eV/f.u.: 4.550
# Crystal system: tetragonal



According to the calculations, the structures order from most to least stable as entry 1, entry 2.



Entry 1
# BeNbI PBE optimized geometry
data_BeNbI
_cell_length_a 4.208
_cell_length_b 4.227
_cell_length_c 10.312
_cell_angle_alpha 81.31
_cell_angle_beta 78.79
_cell_angle_gamma 60.16
_space_group_name_H-M_alt 'P 1'
_space_group_IT_number 1
loop_
_space_group_symop_operation_xyz
'x,y,z'
loop_
_atom_site_label
_atom_site_fract_x
_atom_site_fract_y
_atom_site_fract_z
_atom_site_occupancy
Be1 0.000 0.000 0.000 1
Be2 0.406 0.322 0.860 1
Nb1 0.298 0.310 0.098 1
Nb2 0.683 0.671 0.961 1
I1 0.561 0.613 0.278 1
I2 0.708 0.882 0.685 1
# N(E_F), states/eV/f.u.: 1.481
# Crystal system: triclinic



Entry 2
# BeNbI PBE optimized geometry
data_BeNbI
_cell_length_a 6.283
_cell_length_b 3.630
_cell_length_c 11.780
_cell_angle_alpha 90.00
_cell_angle_beta 100.63
_cell_angle_gamma 90.00
_space_group_name_H-M_alt 'C 1 m 1'
_space_group_IT_number 8
loop_
_space_group_symop_operation_xyz
'x,y,z'
'x,-y,z'
'x+1/2,y+1/2,z'
'x+1/2,-y+1/2,z'
loop_
_atom_site_label
_atom_site_fract_x
_atom_site_fract_y
_atom_site_fract_z
_atom_site_occupancy
Be1 0.000 0.000 0.000 1
Be2 0.248 0.500 0.234 1
Nb1 0.129 0.500 0.892 1
Nb2 0.369 0.000 0.104 1
I1 0.238 0.000 0.725 1
I2 0.458 0.000 0.359 1
# N(E_F), states/eV/f.u.: 0.584
# Crystal system: monoclinic



Entry 3
# BeNbI PBE optimized geometry
data_BeNbI
_cell_length_a 7.912
_cell_length_b 3.669
_cell_length_c 10.182
_cell_angle_alpha 90.00
_cell_angle_beta 92.07
_cell_angle_gamma 90.00
_space_group_name_H-M_alt 'C 1 m 1'
_space_group_IT_number 8
loop_
_space_group_symop_operation_xyz
'x,y,z'
'x,-y,z'
'x+1/2,y+1/2,z'
'x+1/2,-y+1/2,z'
loop_
_atom_site_label
_atom_site_fract_x
_atom_site_fract_y
_atom_site_fract_z
_atom_site_occupancy
Be1 0.000 0.000 0.000 1
Be2 0.092 0.500 0.893 1
Nb1 0.193 0.500 0.115 1
Nb2 0.295 0.000 0.924 1
I1 0.227 0.500 0.689 1
I2 0.376 0.000 0.299 1
# N(E_F), states/eV/f.u.: 1.074
# Crystal system: monoclinic



Entry 4
# BeNbI PBE optimized geometry
data_BeNbI
_cell_length_a 3.618
_cell_length_b 3.808
_cell_length_c 10.136
_cell_angle_alpha 79.33
_cell_angle_beta 88.14
_cell_angle_gamma 89.98
_space_group_name_H-M_alt 'P -1'
_space_group_IT_number 2
loop_
_space_group_symop_operation_xyz
'x,y,z'
'-x,-y,-z'
loop_
_atom_site_label
_atom_site_fract_x
_atom_site_fract_y
_atom_site_fract_z
_atom_site_occupancy
Be1 0.239 0.473 0.055 1
Nb1 0.274 0.052 0.895 1
I1 0.299 0.352 0.302 1
# N(E_F), states/eV/f.u.: 1.268
# Crystal system: triclinic



According to the calculations, the structures order from most to least stable as entry 4, entry 2, entry 1, entry 3.



Entry 1
# BeNbI PBE optimized geometry
data_BeNbI
_cell_length_a 3.698
_cell_length_b 4.629
_cell_length_c 9.814
_cell_angle_alpha 90.04
_cell_angle_beta 99.92
_cell_angle_gamma 113.53
_space_group_name_H-M_alt 'P 1'
_space_group_IT_number 1
loop_
_space_group_symop_operation_xyz
'x,y,z'
loop_
_atom_site_label
_atom_site_fract_x
_atom_site_fract_y
_atom_site_fract_z
_atom_site_occupancy
Be1 0.000 0.000 0.000 1
Be2 0.447 0.806 0.096 1
Nb1 0.138 0.050 0.246 1
Nb2 0.760 0.413 0.116 1
I1 0.487 0.127 0.831 1
I2 0.927 0.467 0.423 1
# N(E_F), states/eV/f.u.: 0.750
# Crystal system: triclinic



Entry 2
# BeNbI PBE optimized geometry
data_BeNbI
_cell_length_a 3.565
_cell_length_b 3.494
_cell_length_c 9.936
_cell_angle_alpha 90.00
_cell_angle_beta 90.00
_cell_angle_gamma 90.00
_space_group_name_H-M_alt 'A m m 2'
_space_group_IT_number 38
loop_
_space_group_symop_operation_xyz
'x,y,z'
'-x,-y,z'
'-x,y,z'
'x,-y,z'
'x,y+1/2,z+1/2'
'-x,-y+1/2,z+1/2'
'-x,y+1/2,z+1/2'
'x,-y+1/2,z+1/2'
loop_
_atom_site_label
_atom_site_fract_x
_atom_site_fract_y
_atom_site_fract_z
_atom_site_occupancy
Be1 0.000 0.000 0.000 1
Nb1 0.500 0.000 0.452 1
I1 0.500 0.000 0.735 1
# N(E_F), states/eV/f.u.: 1.951
# Crystal system: orthorhombic



Entry 3
# BeNbI PBE optimized geometry
data_BeNbI
_cell_length_a 3.558
_cell_length_b 3.558
_cell_length_c 9.023
_cell_angle_alpha 90.00
_cell_angle_beta 90.00
_cell_angle_gamma 90.00
_space_group_name_H-M_alt 'I -4 m 2'
_space_group_IT_number 119
_space_group_name_Hall 'I -4 -2'
loop_
_atom_site_label
_atom_site_fract_x
_atom_site_fract_y
_atom_site_fract_z
_atom_site_occupancy
Be1 0.000 0.000 0.000 1
Nb1 0.000 0.000 0.500 1
I1 0.000 0.500 0.250 1
# N(E_F), states/eV/f.u.: 0.881
# Crystal system: tetragonal



Entry 4
# BeNbI PBE optimized geometry
data_BeNbI
_cell_length_a 3.414
_cell_length_b 3.414
_cell_length_c 9.032
_cell_angle_alpha 90.00
_cell_angle_beta 90.00
_cell_angle_gamma 90.00
_space_group_name_H-M_alt 'I 4 m m'
_space_group_IT_number 107
_space_group_name_Hall 'I 4 -2'
loop_
_atom_site_label
_atom_site_fract_x
_atom_site_fract_y
_atom_site_fract_z
_atom_site_occupancy
Be1 0.000 0.000 0.000 1
Nb1 0.000 0.000 0.619 1
I1 0.000 0.000 0.306 1
# N(E_F), states/eV/f.u.: 2.259
# Crystal system: tetragonal



According to the calculations, the structures order from most to least stable as entry 1, entry 3, entry 2, entry 4.



Entry 1
# BeNbI3 PBE optimized geometry
data_BeNbI3
_cell_length_a 5.690
_cell_length_b 5.690
_cell_length_c 5.690
_cell_angle_alpha 90.00
_cell_angle_beta 90.00
_cell_angle_gamma 90.00
_space_group_name_H-M_alt 'P m -3 m'
_space_group_IT_number 221
_space_group_name_Hall '-P 4 2 3'
loop_
_atom_site_label
_atom_site_fract_x
_atom_site_fract_y
_atom_site_fract_z
_atom_site_occupancy
Be1 0.000 0.000 0.000 1
Nb1 0.500 0.500 0.500 1
I1 0.000 0.500 0.500 1
# N(E_F), states/eV/f.u.: 3.970
# Crystal system: cubic



Entry 2
# BeNbI3 PBE optimized geometry
data_BeNbI3
_cell_length_a 5.224
_cell_length_b 5.224
_cell_length_c 5.224
_cell_angle_alpha 90.00
_cell_angle_beta 90.00
_cell_angle_gamma 90.00
_space_group_name_H-M_alt 'P m -3 m'
_space_group_IT_number 221
_space_group_name_Hall '-P 4 2 3'
loop_
_atom_site_label
_atom_site_fract_x
_atom_site_fract_y
_atom_site_fract_z
_atom_site_occupancy
Be1 0.000 0.000 0.000 1
Nb1 0.500 0.500 0.500 1
I1 0.000 0.000 0.500 1
# N(E_F), states/eV/f.u.: 5.949
# Crystal system: cubic



According to the calculations, the structures order from most to least stable as entry 1, entry 2.